# 1
# PrY2Rh

Crystalline PrY2Rh at its relaxed geometry (PBE, Alexandria).

Cell: 3.7192 3.7192 10.8310 Å, 80.11 80.11 60.00°
Closest atoms and distances in Å follow each position.
Fractional positions:
Y 0.8870 0.8870 0.3389  3 Rh 2.74
Pr 0.0000 0.0000 0.0000  2 Y 3.60, 6 Pr 3.72
Y 0.1130 0.1130 0.6611  3 Rh 2.74
Rh 0.5000 0.5000 0.5000  6 Y 2.74

Properties
Excess energy over the best structure of this formula in the dataset in eV per formula unit: 1.24
Energy of formation in meV/atom: -168

***

# 2
# La2PrPuP4

Crystalline La2PrPuP4 at its relaxed geometry (PBE, Alexandria).

Cell: 4.1923 7.2444 7.2530 Å, 109.46 90.00 90.00°
Closest atoms and distances in Å follow each position.
Fractional positions:
P 0.5000 0.7625 0.7644  2 Pu 2.88, 1 Pr 2.95, 3 La 2.97-3.04
Pr 0.5000 0.5000 0.0000  6 P 2.95
La 0.5000 0.0000 0.5000  6 P 2.97
P 0.0000 0.2450 0.7581  1 Pu 2.88, 2 Pr 2.95, 3 La 2.97-3.04
P 0.0000 0.7550 0.2419  1 Pu 2.88, 2 Pr 2.95, 3 La 2.97-3.04
La 0.0000 0.5000 0.5000  6 P 3.04
Pu 0.0000 0.0000 0.0000  6 P 2.88
P 0.5000 0.2375 0.2356  2 Pu 2.88, 1 Pr 2.95, 3 La 2.97-3.04

Properties
Energy of formation in meV/atom: -1426

***

# 3
# LaNdO

Crystalline LaNdO at its relaxed geometry (PBE, Alexandria).

Cell: 4.5065 4.5065 7.9575 Å, 90.00 90.00 90.00°
Closest atoms and distances in Å follow each position.
Fractional positions:
Nd 0.5000 0.5000 0.5000  2 O 2.25
O 0.5000 0.0000 0.5000  2 Nd 2.25
La 0.0000 0.0000 0.7500  4 O 3.01
O 0.0000 0.5000 0.0000  2 Nd 2.25
La 0.0000 0.0000 0.2500  4 O 3.01
Nd 0.5000 0.5000 0.0000  2 O 2.25

Properties
ΔE_f (raw) in eV per atom: -1.48
Excess energy over the best structure of this formula in the dataset in eV per formula unit: 0.83

***

# 4
# MnBeSi2

Crystalline MnBeSi2 at its relaxed geometry (PBE, Alexandria).

Cell: 4.2830 4.2830 2.6207 Å, 89.96 89.96 110.82°
Closest atoms and distances in Å follow each position.
Fractional positions:
Be 0.5000 0.0000 0.5000  2 Mn 2.43, 8 Si 2.51, 2 Be 2.62
Si 0.5000 0.5000 0.0000  4 Si 2.43-2.62, 4 Mn 2.51, 4 Be 2.51
Si 0.0000 0.0000 0.0000  4 Si 2.43-2.62, 4 Be 2.51, 4 Mn 2.51
Mn 0.0000 0.5000 0.5000  2 Be 2.43, 8 Si 2.51, 2 Mn 2.62

Properties
ΔE_f (raw) in eV per atom: 0.05